No. 1
Density functional theory data (PBE-GGA) for an optimized crystal structure of Mn2AsBr.

```
Mn2AsBr
1.0
3.793 0.000 0.000
0.000 3.864 0.000
0.000 0.000 5.477
Mn As Br
2 1 1
direct
0.000 0.000 0.000 Mn
0.500 0.500 0.500 Mn
0.000 0.000 0.500 As
0.500 0.500 0.000 Br
```

Results
Relative energy among the computed polymorphs in meV/atom: 117
N(E_F) in states/eV/cell: 1.757
Raw formation energy in meV/atom: 42.5

=====

No. 2
Density functional theory data (PBE-GGA) for an optimized crystal structure of TlSiSb2.

```
TlSiSb2
1.0
5.119 0.000 0.000
0.000 5.119 0.000
0.000 0.000 3.859
Tl Si Sb
1 1 2
direct
0.000 0.000 0.000 Tl
0.500 0.500 0.000 Si
0.000 0.500 0.500 Sb
0.500 0.000 0.500 Sb
```

Results
Relative energy among the computed polymorphs in meV/atom: 268
N(E_F) in states/eV/cell: 2.281
Raw formation energy in meV/atom: 441.8

=====

No. 3
Density functional theory data (PBE-GGA) for an optimized crystal structure of YAlP2Cl.

```
YAlP2Cl
1.0
5.336 0.000 0.000
0.000 5.336 0.000
0.000 0.000 5.193
Y Al P Cl
1 1 2 1
direct
0.000 0.000 0.000 Y
0.500 0.500 0.500 Al
0.000 0.500 0.000 P
0.500 0.000 0.000 P
0.000 0.000 0.500 Cl
```

Results
Relative energy among the computed polymorphs in meV/atom: 551
N(E_F) in states/eV/cell: 4.342
Raw formation energy in meV/atom: 63.8

=====

No. 4
Density functional theory data (PBE-GGA) for an optimized crystal structure of ReRu2S.

```
ReRu2S
1.0
4.468 0.000 0.000
0.000 2.884 0.000
-1.283 0.000 4.338
Re Ru S
1 2 1
direct
0.000 0.000 0.000 Re
0.385 0.000 0.612 Ru
0.540 0.500 0.159 Ru
0.959 0.500 0.584 S
```

Results
N(E_F) in states/eV/cell: 3.284
Raw formation energy in meV/atom: 67.6

=====

No. 5
Density functional theory data (PBE-GGA) for an optimized crystal structure of YNpPbO6.

```
YNpPbO6
1.0
5.866 0.000 0.000
-2.933 5.080 0.000
0.000 0.000 10.113
Y Np Pb O
2 2 2 12
direct
0.333 0.667 0.250 Y
0.667 0.333 0.750 Y
0.333 0.667 0.750 Np
0.667 0.333 0.250 Np
0.000 0.000 0.000 Pb
0.000 0.000 0.500 Pb
0.031 0.384 0.643 O
0.031 0.648 0.857 O
0.352 0.384 0.857 O
0.352 0.969 0.643 O
0.384 0.031 0.143 O
0.384 0.352 0.357 O
0.616 0.648 0.643 O
0.616 0.969 0.857 O
0.648 0.031 0.357 O
0.648 0.616 0.143 O
0.969 0.352 0.143 O
0.969 0.616 0.357 O
```

Results
Raw formation energy in meV/atom: -2527.6

=====

No. 6
Density functional theory data (PBE-GGA) for an optimized crystal structure of TmThHgRu.

```
TmThHgRu
1.0
0.000 3.616 3.616
3.616 0.000 3.616
3.616 3.616 0.000
Tm Th Hg Ru
1 1 1 1
direct
0.000 0.000 0.000 Tm
0.500 0.500 0.500 Th
0.250 0.250 0.250 Hg
0.750 0.750 0.750 Ru
```

Results
Energy relative to the elements in eV per atom: -0.299
N(E_F) in states/eV/cell: 3.304

=====

No. 7
Density functional theory data (PBE-GGA) for an optimized crystal structure of MgZrTl2.

```
MgZrTl2
1.0
4.859 -1.662 0.000
4.859 1.662 0.000
-1.079 0.000 5.997
Mg Zr Tl
1 1 2
direct
0.000 0.000 0.000 Mg
0.500 0.500 0.500 Zr
0.254 0.254 0.752 Tl
0.746 0.746 0.248 Tl
```

Results
Energy relative to the elements in eV per atom: 0.058
N(E_F) in states/eV/cell: 2.288

=====

No. 8
Density functional theory data (PBE-GGA) for an optimized crystal structure of Hg5AuO4.

```
Hg5AuO4
1.0
6.894 0.000 0.000
0.000 9.094 0.000
0.000 0.000 6.655
Hg Au O
10 2 8
direct
0.052 0.047 0.244 Hg
0.052 0.453 0.244 Hg
0.250 0.250 0.700 Hg
0.448 0.047 0.244 Hg
0.448 0.453 0.244 Hg
0.552 0.547 0.756 Hg
0.552 0.953 0.756 Hg
0.750 0.750 0.300 Hg
0.948 0.547 0.756 Hg
0.948 0.953 0.756 Hg
0.250 0.750 0.025 Au
0.750 0.250 0.975 Au
0.039 0.250 0.004 O
0.250 0.019 0.653 O
0.250 0.481 0.653 O
0.461 0.250 0.004 O
0.539 0.750 0.996 O
0.750 0.519 0.347 O
0.750 0.981 0.347 O
0.961 0.750 0.996 O
```

Results
N(E_F) in states/eV/cell: 9.740
Raw formation energy in meV/atom: -39.1

=====

No. 9
Density functional theory data (PBE-GGA) for an optimized crystal structure of In2SiPt.

```
In2SiPt
1.0
4.111 0.000 0.000
0.000 4.175 0.000
-2.023 0.000 4.749
In Si Pt
2 1 1
direct
0.000 0.000 0.000 In
0.296 0.500 0.598 In
0.713 0.000 0.435 Si
0.589 0.500 0.175 Pt
```

Results
N(E_F) in states/eV/cell: 1.349
Raw formation energy in meV/atom: -216.8

=====

No. 10
Density functional theory data (PBE-GGA) for an optimized crystal structure of Tb2Er4Sc3.

```
Tb2Er4Sc3
1.0
8.152 -4.721 0.000
8.152 4.721 0.000
-0.004 0.000 6.670
Tb Er Sc
4 8 6
direct
0.043 0.313 0.499 Tb
0.313 0.043 0.999 Tb
0.687 0.957 0.001 Tb
0.957 0.687 0.501 Tb
0.044 0.644 0.001 Er
0.313 0.644 0.500 Er
0.356 0.687 0.000 Er
0.356 0.956 0.499 Er
0.644 0.044 0.501 Er
0.644 0.313 0.000 Er
0.687 0.356 0.500 Er
0.956 0.356 0.999 Er
0.000 0.000 0.250 Sc
0.000 0.000 0.750 Sc
0.334 0.335 0.750 Sc
0.335 0.334 0.250 Sc
0.665 0.666 0.750 Sc
0.666 0.665 0.250 Sc
```

Results
Relative energy among the computed polymorphs in meV/atom: 0
Energy relative to the elements in eV per atom: 0.063
N(E_F) in states/eV/cell: 21.108

=====

No. 11
Density functional theory data (PBE-GGA) for an optimized crystal structure of HoSn3Cl9.

```
HoSn3Cl9
1.0
9.358 -4.590 0.000
9.358 4.590 0.000
-6.242 0.000 10.028
Ho Sn Cl
2 6 18
direct
0.195 0.805 0.500 Ho
0.805 0.195 0.000 Ho
0.228 0.253 0.746 Sn
0.253 0.228 0.246 Sn
0.488 0.676 0.211 Sn
0.676 0.488 0.711 Sn
0.799 0.850 0.109 Sn
0.850 0.799 0.609 Sn
0.019 0.422 0.886 Cl
0.026 0.142 0.548 Cl
0.090 0.492 0.631 Cl
0.106 0.848 0.697 Cl
0.142 0.026 0.048 Cl
0.227 0.718 0.260 Cl
0.380 0.486 0.500 Cl
0.422 0.019 0.386 Cl
0.448 0.845 0.660 Cl
0.486 0.380 0.000 Cl
0.492 0.090 0.131 Cl
0.575 0.675 0.916 Cl
0.675 0.575 0.416 Cl
0.718 0.227 0.760 Cl
0.827 0.890 0.857 Cl
0.845 0.448 0.160 Cl
0.848 0.106 0.197 Cl
0.890 0.827 0.357 Cl
```

Results
N(E_F) in states/eV/cell: 0.000
Raw formation energy in meV/atom: -1359.4

=====

No. 12
Density functional theory data (PBE-GGA) for an optimized crystal structure of Th2Al12Rh7.

```
Th2Al12Rh7
1.0
9.881 0.000 0.000
-4.941 8.558 0.000
0.000 0.000 4.107
Th Al Rh
2 12 7
direct
0.000 0.000 0.000 Th
0.333 0.667 0.500 Th
0.011 0.281 0.500 Al
0.165 0.777 0.000 Al
0.223 0.388 0.000 Al
0.270 0.989 0.500 Al
0.380 0.206 0.000 Al
0.551 0.410 0.500 Al
0.590 0.140 0.500 Al
0.612 0.835 0.000 Al
0.719 0.730 0.500 Al
0.794 0.175 0.000 Al
0.825 0.620 0.000 Al
0.860 0.449 0.500 Al
0.000 0.746 0.500 Rh
0.020 0.479 0.000 Rh
0.254 0.254 0.500 Rh
0.459 0.980 0.000 Rh
0.521 0.541 0.000 Rh
0.667 0.333 0.000 Rh
0.746 0.000 0.500 Rh
```

Results
Energy relative to the elements in eV per atom: -0.868
N(E_F) in states/eV/cell: 7.323

=====

No. 13
Density functional theory data (PBE-GGA) for an optimized crystal structure of IrPb2W.

```
IrPb2W
1.0
4.801 0.000 0.000
0.000 4.801 0.000
0.000 0.000 3.398
Ir Pb W
1 2 1
direct
0.000 0.000 0.000 Ir
0.000 0.500 0.500 Pb
0.500 0.000 0.500 Pb
0.500 0.500 0.000 W
```

Results
Relative energy among the computed polymorphs in meV/atom: 602
Energy relative to the elements in eV per atom: 0.887
N(E_F) in states/eV/cell: 2.998

=====

No. 14
Density functional theory data (PBE-GGA) for an optimized crystal structure of Li2YTe.

```
Li2YTe
1.0
4.025 0.000 0.000
0.000 4.063 0.000
-2.001 0.000 6.211
Li Y Te
2 1 1
direct
0.000 0.000 0.000 Li
0.418 0.500 0.837 Li
0.742 0.000 0.485 Y
0.151 0.500 0.302 Te
```

Results
Relative energy among the computed polymorphs in meV/atom: 13
N(E_F) in states/eV/cell: 2.785
Raw formation energy in meV/atom: -574.4

=====

No. 15
Density functional theory data (PBE-GGA) for an optimized crystal structure of ZrAl4Fe8.

```
ZrAl4Fe8
1.0
-4.141 4.141 2.495
4.141 -4.141 2.495
4.141 4.141 -2.495
Zr Al Fe
1 4 8
direct
0.000 0.000 0.000 Zr
0.000 0.000 0.500 Al
0.000 0.500 0.000 Al
0.500 0.000 0.000 Al
0.500 0.500 0.500 Al
0.000 0.363 0.363 Fe
0.000 0.637 0.637 Fe
0.287 0.500 0.787 Fe
0.363 0.000 0.363 Fe
0.500 0.287 0.787 Fe
0.500 0.713 0.213 Fe
0.637 0.000 0.637 Fe
0.713 0.500 0.213 Fe
```

Results
Energy relative to the elements in eV per atom: -0.176
N(E_F) in states/eV/cell: 12.346

=====

No. 16
Density functional theory data (PBE-GGA) for an optimized crystal structure of La2BePt2.

```
La2BePt2
1.0
7.452 0.000 0.000
0.000 7.452 0.000
0.000 0.000 4.152
La Be Pt
4 2 4
direct
0.172 0.328 0.000 La
0.328 0.828 0.000 La
0.672 0.172 0.000 La
0.828 0.672 0.000 La
0.000 0.000 0.500 Be
0.500 0.500 0.500 Be
0.140 0.640 0.500 Pt
0.360 0.140 0.500 Pt
0.640 0.860 0.500 Pt
0.860 0.360 0.500 Pt
```

Results
Energy relative to the elements in eV per atom: -0.704
N(E_F) in states/eV/cell: 6.702

=====

No. 17
Density functional theory data (PBE-GGA) for an optimized crystal structure of HfTaPS2.

```
HfTaPS2
1.0
4.771 0.000 0.000
0.000 4.771 0.000
0.000 0.000 5.014
Hf Ta P S
1 1 1 2
direct
0.000 0.000 0.000 Hf
0.500 0.500 0.500 Ta
0.000 0.000 0.500 P
0.000 0.500 0.000 S
0.500 0.000 0.000 S
```

Results
Relative energy among the computed polymorphs in meV/atom: 341
N(E_F) in states/eV/cell: 3.198
Raw formation energy in meV/atom: 392.4

=====

No. 18
Density functional theory data (PBE-GGA) for an optimized crystal structure of Tb3Sm8Mg.

```
Tb3Sm8Mg
1.0
3.581 0.000 0.000
-0.001 9.732 0.000
-1.784 -3.581 11.263
Tb Sm Mg
3 8 1
direct
0.000 0.000 0.000 Tb
0.112 0.548 0.224 Tb
0.737 0.803 0.475 Tb
0.127 0.909 0.254 Sm
0.246 0.495 0.495 Sm
0.264 0.158 0.524 Sm
0.485 0.308 0.968 Sm
0.506 0.679 0.013 Sm
0.629 0.234 0.259 Sm
0.873 0.063 0.741 Sm
0.875 0.452 0.749 Sm
0.374 0.767 0.748 Mg
```

Results
Energy relative to the elements in eV per atom: 0.035
N(E_F) in states/eV/cell: 16.804

=====

Number 1: VASP energy -24.5 eV per cell. Number 2: VASP energy -14.3 eV per cell. Number 3: VASP energy -22.6 eV per cell. Number 4: VASP energy -34.9 eV per cell. Number 5: VASP energy -151.2 eV per cell. Number 6: VASP energy -22.7 eV per cell. Number 7: VASP energy -14.6 eV per cell. Number 8: VASP energy -50.0 eV per cell. Number 9: VASP energy -17.8 eV per cell. Number 10: VASP energy -91.9 eV per cell. Number 11: VASP energy -101.8 eV per cell. Number 12: VASP energy -129.4 eV per cell. Number 13: VASP energy -25.7 eV per cell. Number 14: VASP energy -15.7 eV per cell. Number 15: VASP energy -93.5 eV per cell. Number 16: VASP energy -58.4 eV per cell. Number 17: VASP energy -33.5 eV per cell. Number 18: VASP energy -52.8 eV per cell.